# LiBeCd2 (PBE, relaxed)
data_LiBeCd2
_chemical_formula_sum 'Li1 Be1 Cd2'
_space_group_name_H-M_alt 'P 1 m 1'
_space_group_IT_number 6
_cell_length_a 2.801
_cell_length_b 4.400
_cell_length_c 5.423
_cell_angle_alpha 90.00
_cell_angle_beta 103.11
_cell_angle_gamma 90.00
loop_
_space_group_symop_operation_xyz
'x,y,z'
'x,-y,z'
loop_
_atom_site_label
_atom_site_type_symbol
_atom_site_fract_x
_atom_site_fract_y
_atom_site_fract_z
Li1 Li 0.000 0.000 0.000
Be1 Be 0.068 0.500 0.252
Cd1 Cd 0.393 0.500 0.805
Cd2 Cd 0.679 0.000 0.453
# DFT formation energy: 136.7 meV per atom
# E: -6.92 eV per formula unit